A) YErZn4 | PBE-GGA | optimized geometry

total moment = 0.00 μB/cell

The structure in CIF format:
```
data_YErZn4
_chemical_formula_sum 'Y2 Er2 Zn8'
_cell_length_a 4.4781
_cell_length_b 6.9688
_cell_length_c 7.7173
_cell_angle_alpha 90.00
_cell_angle_beta 90.00
_cell_angle_gamma 90.00
_symmetry_space_group_name_H-M 'I m m m'
_symmetry_Int_Tables_number 71
_symmetry_space_group_name_Hall '-I 2 2'
loop_
_atom_site_label
_atom_site_type_symbol
_atom_site_fract_x
_atom_site_fract_y
_atom_site_fract_z
Y1 Y 0.0000 0.0000 0.0000
Er1 Er 0.0000 0.5000 0.0000
Zn1 Zn 0.0000 0.2485 0.3334
```


B) YErZn4 | PBE-GGA | optimized geometry

total moment = 0.00 μB/cell

The structure in CIF format:
```
data_YErZn4
_chemical_formula_sum 'Y4 Er4 Zn16'
_cell_length_a 7.7063
_cell_length_b 7.7063
_cell_length_c 7.7063
_cell_angle_alpha 90.00
_cell_angle_beta 90.00
_cell_angle_gamma 90.00
_symmetry_space_group_name_H-M 'F -4 3 m'
_symmetry_Int_Tables_number 216
_symmetry_space_group_name_Hall 'F -4 2 3'
loop_
_atom_site_label
_atom_site_type_symbol
_atom_site_fract_x
_atom_site_fract_y
_atom_site_fract_z
Y1 Y 0.0000 0.0000 0.0000
Er1 Er 0.2500 0.2500 0.2500
Zn1 Zn 0.1250 0.1250 0.6250
```


It is A) that is the most stable of them.


A) Y4ErZn | PBE-GGA | optimized geometry

total moment = 0.01 μB/cell

The structure in CIF format:
```
data_Y4ErZn
_chemical_formula_sum 'Y16 Er4 Zn4'
_cell_length_a 8.8321
_cell_length_b 13.5931
_cell_length_c 6.2374
_cell_angle_alpha 90.00
_cell_angle_beta 108.94
_cell_angle_gamma 90.00
_symmetry_space_group_name_H-M 'C 1 2/c 1'
_symmetry_Int_Tables_number 15
_symmetry_space_group_name_Hall '-C 2yc'
loop_
_atom_site_label
_atom_site_type_symbol
_atom_site_fract_x
_atom_site_fract_y
_atom_site_fract_z
Y1 Y 0.1034 0.1830 0.0507
Y2 Y 0.2222 0.3929 0.3718
Er1 Er 0.0000 0.4011 0.7500
Zn1 Zn 0.0000 0.0007 0.2500
```


B) Y4ErZn | PBE-GGA | optimized geometry

total moment = 0.00 μB/cell

The structure in CIF format:
```
data_Y4ErZn
_chemical_formula_sum 'Y4 Er1 Zn1'
_cell_length_a 3.5638
_cell_length_b 3.5638
_cell_length_c 13.7382
_cell_angle_alpha 90.00
_cell_angle_beta 90.00
_cell_angle_gamma 90.00
_symmetry_space_group_name_H-M 'P 4/m m m'
_symmetry_Int_Tables_number 123
_symmetry_space_group_name_Hall '-P 4 2'
loop_
_atom_site_label
_atom_site_type_symbol
_atom_site_fract_x
_atom_site_fract_y
_atom_site_fract_z
Y1 Y 0.0000 0.0000 0.1295
Y2 Y 0.5000 0.5000 0.3194
Er1 Er 0.0000 0.0000 0.5000
Zn1 Zn 0.5000 0.5000 0.0000
```


It is B) that is the most stable of them.


A) YErZn | PBE-GGA | optimized geometry

total moment = 0.00 μB/cell

The structure in CIF format:
```
data_YErZn
_chemical_formula_sum 'Y2 Er2 Zn2'
_cell_length_a 4.9370
_cell_length_b 4.9370
_cell_length_c 6.9739
_cell_angle_alpha 90.00
_cell_angle_beta 90.00
_cell_angle_gamma 90.00
_symmetry_space_group_name_H-M 'I -4 m 2'
_symmetry_Int_Tables_number 119
_symmetry_space_group_name_Hall 'I -4 -2'
loop_
_atom_site_label
_atom_site_type_symbol
_atom_site_fract_x
_atom_site_fract_y
_atom_site_fract_z
Y1 Y 0.0000 0.0000 0.0000
Er1 Er 0.0000 0.0000 0.5000
Zn1 Zn 0.0000 0.5000 0.2500
```


B) YErZn | PBE-GGA | optimized geometry

total moment = 0.00 μB/cell

The structure in CIF format:
```
data_YErZn
_chemical_formula_sum 'Y2 Er2 Zn2'
_cell_length_a 3.5650
_cell_length_b 3.5650
_cell_length_c 12.1738
_cell_angle_alpha 90.00
_cell_angle_beta 90.00
_cell_angle_gamma 90.00
_symmetry_space_group_name_H-M 'I 4 m m'
_symmetry_Int_Tables_number 107
_symmetry_space_group_name_Hall 'I 4 -2'
loop_
_atom_site_label
_atom_site_type_symbol
_atom_site_fract_x
_atom_site_fract_y
_atom_site_fract_z
Y1 Y 0.0000 0.0000 0.0000
Er1 Er 0.0000 0.0000 0.2865
Zn1 Zn 0.0000 0.0000 0.6472
```


It is B) that is the most stable of them.


A) YErZn | PBE-GGA | optimized geometry

total moment = 0.00 μB/cell

The structure in CIF format:
```
data_YErZn
_chemical_formula_sum 'Y2 Er2 Zn2'
_cell_length_a 4.6701
_cell_length_b 4.6701
_cell_length_c 7.2990
_cell_angle_alpha 90.00
_cell_angle_beta 90.00
_cell_angle_gamma 90.00
_symmetry_space_group_name_H-M 'P 4/n m m'
_symmetry_Int_Tables_number 129
loop_
_symmetry_equiv_pos_as_xyz
'x,y,z'
'-x,-y,-z'
'-y+1/2,x,z'
'y+1/2,-x,-z'
'-x+1/2,-y+1/2,z'
'x+1/2,y+1/2,-z'
'y,-x+1/2,z'
'-y,x+1/2,-z'
'x+1/2,-y,-z'
'-x+1/2,y,z'
'-y,-x,-z'
'y,x,z'
'-x,y+1/2,-z'
'x,-y+1/2,z'
'y+1/2,x+1/2,-z'
'-y+1/2,-x+1/2,z'
loop_
_atom_site_label
_atom_site_type_symbol
_atom_site_fract_x
_atom_site_fract_y
_atom_site_fract_z
Y1 Y 0.2500 0.2500 0.1317
Er1 Er 0.2500 0.7500 0.5000
Zn1 Zn 0.2500 0.2500 0.7450
```


B) YErZn | PBE-GGA | optimized geometry

total moment = 0.00 μB/cell

The structure in CIF format:
```
data_YErZn
_chemical_formula_sum 'Y1 Er1 Zn1'
_cell_length_a 4.9762
_cell_length_b 4.9762
_cell_length_c 3.6364
_cell_angle_alpha 90.00
_cell_angle_beta 90.00
_cell_angle_gamma 120.00
_symmetry_space_group_name_H-M 'P 3 m 1'
_symmetry_Int_Tables_number 156
_symmetry_space_group_name_Hall 'P 3 -2"'
loop_
_atom_site_label
_atom_site_type_symbol
_atom_site_fract_x
_atom_site_fract_y
_atom_site_fract_z
Y1 Y 0.0000 0.0000 0.0000
Er1 Er 0.3333 0.6667 0.5363
Zn1 Zn 0.6667 0.3333 0.3054
```


It is A) that is the most stable of them.


A) YEr3Zn2 | PBE-GGA | optimized geometry

total moment = 0.00 μB/cell

The structure in CIF format:
```
data_YEr3Zn2
_chemical_formula_sum 'Y1 Er3 Zn2'
_cell_length_a 3.5461
_cell_length_b 3.5461
_cell_length_c 12.0982
_cell_angle_alpha 90.00
_cell_angle_beta 90.00
_cell_angle_gamma 90.00
_symmetry_space_group_name_H-M 'P 4/m m m'
_symmetry_Int_Tables_number 123
_symmetry_space_group_name_Hall '-P 4 2'
loop_
_atom_site_label
_atom_site_type_symbol
_atom_site_fract_x
_atom_site_fract_y
_atom_site_fract_z
Y1 Y 0.0000 0.0000 0.0000
Er1 Er 0.5000 0.5000 0.2113
Er2 Er 0.5000 0.5000 0.5000
Zn1 Zn 0.0000 0.0000 0.3557
```


B) YEr3Zn2 | PBE-GGA | optimized geometry

total moment = 0.00 μB/cell

The structure in CIF format:
```
data_YEr3Zn2
_chemical_formula_sum 'Y2 Er6 Zn4'
_cell_length_a 4.9621
_cell_length_b 8.9875
_cell_length_c 6.7954
_cell_angle_alpha 90.00
_cell_angle_beta 90.00
_cell_angle_gamma 90.00
_symmetry_space_group_name_H-M 'P m c 21'
_symmetry_Int_Tables_number 26
_symmetry_space_group_name_Hall 'P 2c -2'
loop_
_atom_site_label
_atom_site_type_symbol
_atom_site_fract_x
_atom_site_fract_y
_atom_site_fract_z
Y1 Y 0.0000 0.0572 0.0000
Er1 Er 0.0000 0.3271 0.6478
Er2 Er 0.5000 0.1779 0.3187
Er3 Er 0.5000 0.4419 0.9652
Zn1 Zn 0.0000 0.3519 0.2142
Zn2 Zn 0.5000 0.1480 0.7510
```


It is B) that is the most stable of them.


A) Y3Er2Zn2 | PBE-GGA | optimized geometry

total moment = 0.00 μB/cell

The structure in CIF format:
```
data_Y3Er2Zn2
_chemical_formula_sum 'Y6 Er4 Zn4'
_cell_length_a 12.9281
_cell_length_b 3.6571
_cell_length_c 8.9871
_cell_angle_alpha 90.00
_cell_angle_beta 115.76
_cell_angle_gamma 90.00
_symmetry_space_group_name_H-M 'C 1 2/m 1'
_symmetry_Int_Tables_number 12
_symmetry_space_group_name_Hall '-C 2y'
loop_
_atom_site_label
_atom_site_type_symbol
_atom_site_fract_x
_atom_site_fract_y
_atom_site_fract_z
Y1 Y 0.0000 0.0000 0.0000
Y2 Y 0.1101 0.0000 0.4407
Er1 Er 0.1494 0.5000 0.8126
Zn1 Zn 0.1810 0.5000 0.2235
```


B) Y3Er2Zn2 | PBE-GGA | optimized geometry

total moment = 0.86 μB/cell

The structure in CIF format:
```
data_Y3Er2Zn2
_chemical_formula_sum 'Y6 Er4 Zn4'
_cell_length_a 3.5239
_cell_length_b 30.9655
_cell_length_c 3.4806
_cell_angle_alpha 90.00
_cell_angle_beta 90.00
_cell_angle_gamma 90.00
_symmetry_space_group_name_H-M 'C m m m'
_symmetry_Int_Tables_number 65
_symmetry_space_group_name_Hall '-C 2 2'
loop_
_atom_site_label
_atom_site_type_symbol
_atom_site_fract_x
_atom_site_fract_y
_atom_site_fract_z
Y1 Y 0.0000 0.0000 0.0000
Y2 Y 0.0000 0.1195 0.0000
Er1 Er 0.0000 0.2981 0.5000
Zn1 Zn 0.0000 0.4416 0.5000
```


It is A) that is the most stable of them.